# 1
PmIn2Au9 | PBE-GGA | optimized geometry

Cell: 5.5962 5.5962 27.9045 Å, 90.00 90.00 120.00°
Space group R-3m (No. 166, hexagonal axes)
Symmetry-distinct sites (fractional):
Pm: 0.0000 0.0000 0.0000 (multiplicity 3)
In: 0.0000 0.0000 0.1432 (multiplicity 6)
Au: 0.0000 0.0000 0.3330 (multiplicity 6)
Au: 0.0000 0.0000 0.5000 (multiplicity 3)
Au: 0.0029 0.5015 0.9155 (multiplicity 18)

Values from the calculation:
The value obtained for the calculated density is 14134 kg/m3. Its size of the total moment is 0.000 μB/cell. Its formation enthalpy at 0 K is -0.227 eV/atom.

=====

# 2
ScPt2Au | PBE-GGA | optimized geometry

Cell: 4.1033 4.1033 8.0439 Å, 90.00 90.00 90.00°
Space group I4/mmm (No. 139)
Symmetry-distinct sites (fractional):
Sc: 0.0000 0.0000 0.0000 (multiplicity 2)
Pt: 0.0000 0.5000 0.2500 (multiplicity 4)
Au: 0.0000 0.0000 0.5000 (multiplicity 2)

Values from the calculation:
The value obtained for the calculated density is 15500 kg/m3. Its size of the total moment is 0.000 μB/cell. Its formation enthalpy at 0 K is -0.874 eV/atom.

=====

| no. | final energy (eV/atom) |
| --- | --- |
| 1 | -3.54 |
| 2 | -6.30 |